(1)
DFT (PBE) results for an optimized crystal structure of Be2BH2.

The space group is P4/mbm (No. 127) and the conventional cell measures 5.059, 5.059 and 2.311 Å, with angles of 90.00, 90.00 and 90.00 degrees. The inequivalent atoms are Be at (0.224, 0.276, 0.000), B at (0.000, 0.000, 0.500) and H at (0.058, 0.558, 0.500).

The value obtained for the excess energy over the best structure of this formula in the dataset is 254.1 meV/atom.


(2)
DFT (PBE) results for an optimized crystal structure of BeB2H8.

The space group is I4_1cd (No. 110) and the conventional cell measures 13.448, 13.448 and 8.813 Å, with angles of 90.00, 90.00 and 90.00 degrees. The inequivalent atoms are Be at (0.087, 0.302, 0.000), B at (0.050, 0.339, 0.508), B at (0.137, 0.194, 0.871), H at (0.003, 0.294, 0.610), H at (0.010, 0.363, 0.905), H at (0.081, 0.415, 0.563), H at (0.085, 0.179, 0.982), H at (0.094, 0.155, 0.763), H at (0.109, 0.282, 0.455), H at (0.150, 0.281, 0.838) and H at (0.159, 0.281, 0.150).

The value obtained for the excess energy over the best structure of this formula in the dataset is 0.0 meV/atom.


(3)
DFT (PBE) results for an optimized crystal structure of Be2BH.

The space group is P1 (No. 1) and the conventional cell measures 3.255, 4.079 and 4.833 Å, with angles of 101.01, 109.67 and 91.11 degrees. The inequivalent atoms are Be at (0.000, 0.000, 0.000), Be at (0.178, 0.758, 0.352), Be at (0.394, 0.697, 0.791), Be at (0.777, 0.326, 0.622), B at (0.620, 0.946, 0.230), B at (0.789, 0.823, 0.580), H at (0.400, 0.345, 0.773) and H at (0.724, 0.248, 0.223).

The value obtained for the excess energy over the best structure of this formula in the dataset is 56.8 meV/atom.